Record 1
Entry from Alexandria via LeMat-Bulk: an optimized crystal structure of Pm4BS3 (PBE).

E_form (uncorrected), meV per atom: -1588
Total energy, eV/atom: -6.346
Total magnetic moment, μB/f.u.: 0.0
Fermi-level density of states, states/eV/cell: 2.5

Lattice parameters (Å, degrees): 6.9739 6.9739 4.0007 90.00 90.00 109.07
Closest atoms and distances in Å follow each position.
Element x y z (fractional)
Pm (0.2322, 0.2322, 0.5000)  2 B 2.74, 4 S 2.84-2.95
Pm (0.2380, 0.7620, 0.0000)  1 B 2.70, 5 S 2.85-2.98
Pm (0.7620, 0.2380, 0.0000)  1 B 2.70, 5 S 2.85-2.98
Pm (0.7678, 0.7678, 0.5000)  2 B 2.74, 4 S 2.84-2.95
B (0.0000, 0.0000, 0.0000)  6 Pm 2.70-2.74
S (0.0000, 0.5000, 0.5000)  6 Pm 2.84-2.85
S (0.5000, 0.0000, 0.5000)  6 Pm 2.84-2.85
S (0.5000, 0.5000, 0.0000)  6 Pm 2.95-2.98

=====

Record 2
Entry from Alexandria via LeMat-Bulk: an optimized crystal structure of LiAcSn2 (PBE).

Total energy, eV/atom: -3.953
Total magnetic moment, μB/f.u.: 0.0
Fermi-level density of states, states/eV/cell: 2.8
Formation energy from the elements, eV/atom: -0.4455

Lattice parameters (Å, degrees): 3.7594 3.7594 7.6676 90.00 90.00 90.00
Closest atoms and distances in Å follow each position.
Element x y z (fractional)
Li (0.0000, 0.0000, 0.0000)  8 Sn 3.06
Ac (0.0000, 0.0000, 0.5000)  8 Sn 3.53, 4 Ac 3.76, 2 Li 3.83
Sn (0.5000, 0.5000, 0.1976)  1 Sn 3.03, 4 Li 3.06
Sn (0.5000, 0.5000, 0.8024)  1 Sn 3.03, 4 Li 3.06

=====

Record 3
Entry from Alexandria via LeMat-Bulk: an optimized crystal structure of MgMnRe2Ir (PBE).

Total energy, eV/atom: -6.598
Total magnetic moment, μB/f.u.: 0.0
Fermi-level density of states, states/eV/cell: 5.8
Formation energy from the elements, eV/atom: 2.3065

Lattice parameters (Å, degrees): 4.4127 4.4127 4.1116 90.00 90.00 90.00
Closest atoms and distances in Å follow each position.
Element x y z (fractional)
Mg (0.0000, 0.0000, 0.0000)  2 Mn 2.06, 4 Re 2.21
Mn (0.0000, 0.0000, 0.5000)  2 Mg 2.06
Re (0.0000, 0.5000, 0.0000)  2 Mg 2.21
Re (0.5000, 0.0000, 0.0000)  2 Mg 2.21
Ir (0.5000, 0.5000, 0.5000)  8 Re 3.02, 4 Mn 3.12

=====

Record 4
Entry from Alexandria via LeMat-Bulk: an optimized crystal structure of AgC2Se (PBE).

E_form (uncorrected), meV per atom: 1764
Total energy, eV/atom: -4.432
Total magnetic moment, μB/f.u.: 0.0
Fermi-level density of states, states/eV/cell: 4.2

Lattice parameters (Å, degrees): 5.6722 5.6722 5.6722 126.96 126.96 78.31
Closest atoms and distances in Å follow each position.
Element x y z (fractional)
Ag (0.0000, 0.0000, 0.0000)  4 C 2.23
Ag (0.7500, 0.2500, 0.5000)  4 C 2.23
C (0.1666, 0.6250, 0.0416)  2 Se 1.98
C (0.3750, 0.4166, 0.5416)  2 Se 1.98
C (0.5834, 0.1250, 0.9584)  2 Se 1.98
C (0.8750, 0.8334, 0.4584)  2 Se 1.98
Se (0.2500, 0.7500, 0.5000)  4 C 1.98
Se (0.5000, 0.5000, 0.0000)  4 C 1.98

=====

Record 5
Entry from Alexandria via LeMat-Bulk: an optimized crystal structure of TaHgPt2 (PBE).

Total energy, eV/atom: -6.212
Total magnetic moment, μB/f.u.: 0.0
Fermi-level density of states, states/eV/cell: 2.2
Formation energy from the elements, eV/atom: -0.1534

Lattice parameters (Å, degrees): 4.9826 4.9826 2.8876 90.17 90.17 104.77
Closest atoms and distances in Å follow each position.
Element x y z (fractional)
Ta (0.0000, 0.0000, 0.0000)  8 Pt 2.88, 2 Ta 2.89, 2 Hg 3.04
Hg (0.5000, 0.5000, 0.0000)  8 Pt 2.88, 2 Hg 2.89, 2 Ta 3.04
Pt (0.0000, 0.5000, 0.5000)  4 Hg 2.88, 4 Ta 2.88, 4 Pt 2.89-3.04
Pt (0.5000, 0.0000, 0.5000)  4 Hg 2.88, 4 Ta 2.88, 4 Pt 2.89-3.04

=====

Record 6
Entry from Alexandria via LeMat-Bulk: an optimized crystal structure of HoAl2Cu (PBE).

Total energy, eV/atom: -4.000
Total magnetic moment, μB/f.u.: 0.0
Fermi-level density of states, states/eV/cell: 2.6
Formation energy from the elements, eV/atom: 0.0395

Lattice parameters (Å, degrees): 9.3230 9.3230 9.3230 19.12 19.12 19.12
Closest atoms and distances in Å follow each position.
Element x y z (fractional)
Ho (0.0000, 0.0000, 0.0000)  6 Ho 3.10, 6 Al 3.20
Al (0.2365, 0.2365, 0.2365)  3 Cu 2.62
Al (0.7635, 0.7635, 0.7635)  3 Cu 2.62
Cu (0.5000, 0.5000, 0.5000)  6 Al 2.62

=====

What did the second record say?
Entry from Alexandria via LeMat-Bulk: an optimized crystal structure of LiAcSn2 (PBE).

Total energy, eV/atom: -3.953
Total magnetic moment, μB/f.u.: 0.0
Fermi-level density of states, states/eV/cell: 2.8
Formation energy from the elements, eV/atom: -0.4455

Lattice parameters (Å, degrees): 3.7594 3.7594 7.6676 90.00 90.00 90.00
Closest atoms and distances in Å follow each position.
Element x y z (fractional)
Li (0.0000, 0.0000, 0.0000)  8 Sn 3.06
Ac (0.0000, 0.0000, 0.5000)  8 Sn 3.53, 4 Ac 3.76, 2 Li 3.83
Sn (0.5000, 0.5000, 0.1976)  1 Sn 3.03, 4 Li 3.06
Sn (0.5000, 0.5000, 0.8024)  1 Sn 3.03, 4 Li 3.06